A plane-wave DFT calculation with PBE-GGA was carried out for a relaxed SmTh2N crystal. Values from VASP.

Results
Its crystal system is trigonal. For the uncorrected formation energy, the calculation gives -0.58 eV per atom. The value obtained for the calculated volume is 26.54 A^3/atom. Its space group is R-3m, No. 166. As for the total energy: -7.555 eV per atom. The calculation puts the density of states at the Fermi level at 6.66 states/eV per cell.

```
&SYSTEM
  ibrav = 0, nat = 4, ntyp = 3
/
ATOMIC_SPECIES
Th 232.04 Th.upf
Sm 150.36 Sm.upf
N 14.01 N.upf
CELL_PARAMETERS angstrom
-2.5916 2.5703 -0.1158
-3.5199 -0.9441 0.2358
-1.6419 1.3529 9.1888
ATOMIC_POSITIONS crystal
Th 0.2814 0.2814 0.1558
Sm 0.5000 0.5000 0.5000
N 0.0000 0.0000 0.0000
Th 0.7186 0.7186 0.8442
```